Material: PRu2W
Method: DFT, PBE
State: optimized geometry

Lattice parameters (Å, degrees): 2.874 4.393 4.458 90.00 90.00 90.00
Space group Pmmm (No. 47)
One atom of each set of equivalent atoms:
P 0.000 0.000 0.000 [1 per cell]
Ru 0.000 0.500 0.500 [1 per cell]
Ru 0.500 0.500 0.000 [1 per cell]
W 0.500 0.000 0.500 [1 per cell]

Values from the calculation:
For the mass density, the calculation gives 12304 kg/m³. The uncorrected energy is -36.44 eV per cell. The calculation puts the density of states at the Fermi level at 3.12 states/eV/f.u. The value obtained for the energy of formation from the pure elements is 119 meV/atom.